# 1
DFT (SCAN) results for ZrTa2Cl at its PBEsol-relaxed geometry.

Its symmetry is P4/mmm (123). For the relative energy among the computed polymorphs, the calculation gives 0.628 eV/atom. The formation energy without anion corrections is 482 meV per atom.

a b c (Å): 3.4710 3.4710 6.2663
angles (deg): 90.00 90.00 90.00
Closest atoms and distances in Å follow each position.
Fractional coordinates of all 4 atoms:
Zr 0.0000 0.0000 0.0000  8 Ta 2.83, 2 Cl 3.13
Ta 0.5000 0.5000 0.2237  1 Ta 2.80, 4 Zr 2.83, 4 Cl 3.00
Ta 0.5000 0.5000 0.7763  1 Ta 2.80, 4 Zr 2.83, 4 Cl 3.00
Cl 0.0000 0.0000 0.5000  8 Ta 3.00, 2 Zr 3.13


# 2
DFT (SCAN) results for TlFeAs2 at its PBEsol-relaxed geometry.

Its symmetry is C2/m (12). For the relative energy among the computed polymorphs, the calculation gives 0.439 eV/atom. As for the energy relative to the elements: 180 kJ/mol of formula units.

a b c (Å): 4.6866 4.6866 4.0105
angles (deg): 102.54 102.54 107.70
Closest atoms and distances in Å follow each position.
Fractional coordinates of all 4 atoms:
Tl 0.0000 0.0000 0.0000  4 As 2.73, 2 Fe 2.76
Fe 0.5000 0.5000 0.0000  4 As 2.73, 2 Tl 2.76
As 0.0000 0.5000 0.5000  2 Fe 2.73, 2 Tl 2.73, 2 As 2.76
As 0.5000 0.0000 0.5000  2 Fe 2.73, 2 Tl 2.73, 2 As 2.76


# 3
DFT (SCAN) results for IrPdO2F at its PBEsol-relaxed geometry.

Its symmetry is P4/mmm (123). The formation energy without anion corrections is 499 meV per atom.

a b c (Å): 3.9295 3.9295 3.9808
angles (deg): 90.00 90.00 90.00
Closest atoms and distances in Å follow each position.
Fractional coordinates of all 5 atoms:
Ir 0.0000 0.0000 0.0000  4 F 2.78, 8 O 2.80
Pd 0.5000 0.5000 0.5000  4 O 1.96, 2 F 1.99
O 0.0000 0.5000 0.5000  2 Pd 1.96
O 0.5000 0.0000 0.5000  2 Pd 1.96
F 0.5000 0.5000 0.0000  2 Pd 1.99


# 4
DFT (SCAN) results for InTe4Ir at its PBEsol-relaxed geometry.

Its symmetry is F-43m (216). The formation energy without anion corrections is 1073 meV per atom.

a b c (Å): 6.0881 6.0881 6.0881
angles (deg): 60.00 60.00 60.00
Closest atoms and distances in Å follow each position.
Fractional coordinates of all 6 atoms:
In 0.0000 0.0000 0.0000  12 Te 3.57, 4 Ir 3.73
Te 0.3768 0.3768 0.3768  6 Te 3.00-3.09
Te 0.3768 0.3768 0.8697  6 Te 3.00-3.09
Te 0.3768 0.8697 0.3768  6 Te 3.00-3.09
Te 0.8697 0.3768 0.3768  6 Te 3.00-3.09
Ir 0.7500 0.7500 0.7500  12 Te 3.57, 4 In 3.73


# 5
DFT (SCAN) results for MnTlAg2 at its PBEsol-relaxed geometry.

Its symmetry is P4/mmm (123). For the relative energy among the computed polymorphs, the calculation gives 0.000 eV/atom. As for the energy relative to the elements: 23 kJ/mol of formula units.

a b c (Å): 3.3805 3.3805 6.3537
angles (deg): 90.00 90.00 90.00
Closest atoms and distances in Å follow each position.
Fractional coordinates of all 4 atoms:
Mn 0.0000 0.0000 0.0000  8 Ag 2.76
Tl 0.0000 0.0000 0.5000  8 Ag 2.99, 2 Mn 3.18
Ag 0.5000 0.5000 0.2182  4 Mn 2.76, 1 Ag 2.77, 4 Tl 2.99
Ag 0.5000 0.5000 0.7818  4 Mn 2.76, 1 Ag 2.77, 4 Tl 2.99


# 6
DFT (SCAN) results for K2AlSe at its PBEsol-relaxed geometry.

Its symmetry is Cmmm (65). The formation energy without anion corrections is -197 meV per atom.

a b c (Å): 6.0875 6.0875 3.2702
angles (deg): 90.00 90.00 111.83
Closest atoms and distances in Å follow each position.
Fractional coordinates of all 4 atoms:
K 0.0000 0.5000 0.0000  4 K 3.27-3.41, 4 Se 3.46, 4 Al 3.46
K 0.5000 0.0000 0.0000  4 K 3.27-3.41, 4 Se 3.46, 4 Al 3.46
Al 0.0000 0.0000 0.5000  2 Al 3.27, 2 Se 3.41, 8 K 3.46
Se 0.5000 0.5000 0.5000  2 Se 3.27, 2 Al 3.41, 8 K 3.46


# 7
DFT (SCAN) results for Sb2Te at its PBEsol-relaxed geometry.

Its symmetry is Cmcm (63). For the relative energy among the computed polymorphs, the calculation gives 0.000 eV/atom. The formation energy without anion corrections is -5 meV per atom.

a b c (Å): 7.0926 7.0926 6.1297
angles (deg): 90.00 90.00 144.60
Closest atoms and distances in Å follow each position.
Fractional coordinates of all 6 atoms:
Sb 0.0090 0.9910 0.7500  4 Sb 3.00-3.07, 2 Te 3.18
Sb 0.3370 0.6630 0.2500  2 Sb 3.00, 4 Te 3.06-3.18
Sb 0.6630 0.3370 0.7500  2 Sb 3.00, 4 Te 3.06-3.18
Sb 0.9910 0.0090 0.2500  4 Sb 3.00-3.07, 2 Te 3.18
Te 0.3365 0.6635 0.7500  6 Sb 3.06-3.18
Te 0.6635 0.3365 0.2500  6 Sb 3.06-3.18


# 8
DFT (SCAN) results for Bi2BPb at its PBEsol-relaxed geometry.

Its symmetry is Fm-3m (225). As for the energy relative to the elements: 426 kJ/mol of formula units.

a b c (Å): 5.2074 5.2074 5.2074
angles (deg): 60.00 60.00 60.00
Closest atoms and distances in Å follow each position.
Fractional coordinates of all 4 atoms:
Bi 0.2500 0.2500 0.2500  4 Pb 3.19, 4 B 3.19
Bi 0.7500 0.7500 0.7500  4 B 3.19, 4 Pb 3.19
B 0.0000 0.0000 0.0000  8 Bi 3.19
Pb 0.5000 0.5000 0.5000  8 Bi 3.19


# 9
DFT (SCAN) results for Zr2CuAu at its PBEsol-relaxed geometry.

Its symmetry is I4/mmm (139). As for the energy relative to the elements: -156 kJ/mol of formula units.

a b c (Å): 5.0163 5.0163 5.0163
angles (deg): 130.74 130.74 72.22
Closest atoms and distances in Å follow each position.
Fractional coordinates of all 4 atoms:
Zr 0.2500 0.7500 0.5000  4 Cu 2.91, 4 Au 2.91, 4 Zr 2.96
Zr 0.7500 0.2500 0.5000  4 Cu 2.91, 4 Au 2.91, 4 Zr 2.96
Cu 0.0000 0.0000 0.0000  8 Zr 2.91, 4 Au 2.96
Au 0.5000 0.5000 0.0000  8 Zr 2.91, 4 Cu 2.96


# 10
DFT (SCAN) results for Na2GeP at its PBEsol-relaxed geometry.

Its symmetry is Fm-3m (225). As for the energy relative to the elements: 34 kJ/mol of formula units.

a b c (Å): 4.8029 4.8029 4.8029
angles (deg): 60.00 60.00 60.00
Closest atoms and distances in Å follow each position.
Fractional coordinates of all 4 atoms:
Na 0.2500 0.2500 0.2500  4 Ge 2.94, 4 P 2.94
Na 0.7500 0.7500 0.7500  4 Ge 2.94, 4 P 2.94
Ge 0.0000 0.0000 0.0000  8 Na 2.94
P 0.5000 0.5000 0.5000  8 Na 2.94


# 11
DFT (SCAN) results for BeIr3 at its PBEsol-relaxed geometry.

Its symmetry is I4/mmm (139). As for the energy relative to the elements: -49 kJ/mol of formula units.

a b c (Å): 8.0112 8.0112 8.0112
angles (deg): 153.15 153.15 38.34
Closest atoms and distances in Å follow each position.
Fractional coordinates of all 8 atoms:
Be 0.1123 0.1123 0.0000  12 Ir 2.52-2.79
Be 0.8877 0.8877 0.0000  12 Ir 2.52-2.79
Ir 0.0000 0.5000 0.5000  4 Be 2.52, 8 Ir 2.63-2.68
Ir 0.2500 0.7500 0.5000  8 Ir 2.63, 4 Be 2.79
Ir 0.3726 0.3726 0.0000  8 Ir 2.63-2.68, 4 Be 2.64
Ir 0.5000 0.0000 0.5000  4 Be 2.52, 8 Ir 2.63-2.68
Ir 0.6274 0.6274 0.0000  8 Ir 2.63-2.68, 4 Be 2.64
Ir 0.7500 0.2500 0.5000  8 Ir 2.63, 4 Be 2.79


# 12
DFT (SCAN) results for YSbTe2Pd at its PBEsol-relaxed geometry.

Its symmetry is P4/mmm (123). The formation energy without anion corrections is -277 meV per atom.

a b c (Å): 5.2777 5.2777 5.0368
angles (deg): 90.00 90.00 90.00
Closest atoms and distances in Å follow each position.
Fractional coordinates of all 5 atoms:
Y 0.0000 0.0000 0.0000  8 Te 3.65, 4 Sb 3.73
Sb 0.5000 0.5000 0.0000  2 Pd 2.52
Te 0.0000 0.5000 0.5000  2 Pd 2.64
Te 0.5000 0.0000 0.5000  2 Pd 2.64
Pd 0.5000 0.5000 0.5000  2 Sb 2.52, 4 Te 2.64


# 13
DFT (SCAN) results for Sc3TeAu at its PBEsol-relaxed geometry.

Its symmetry is Pm-3m (221). The formation energy without anion corrections is 89 meV per atom.

a b c (Å): 5.1566 5.1566 5.1566
angles (deg): 90.00 90.00 90.00
Closest atoms and distances in Å follow each position.
Fractional coordinates of all 5 atoms:
Sc 0.0000 0.0000 0.5000  2 Te 2.58
Sc 0.0000 0.5000 0.0000  2 Te 2.58
Sc 0.5000 0.0000 0.0000  2 Te 2.58
Te 0.0000 0.0000 0.0000  6 Sc 2.58
Au 0.5000 0.5000 0.5000  12 Sc 3.65